Record 1
The following is a DFT calculation (GGA-PBE) of a geometry-optimized TbTmRh structure.

Polymorph energy (0 for the lowest one) in meV/atom: 230
Electronic total energy in eV/cell: -17.7
ΔH_f (0 K) in eV/f.u.: -1.26

Geometry as CIF:
```
data_TbTmRh
_chemical_formula_sum 'Tb1 Tm1 Rh1'
_symmetry_space_group_name_H-M 'P 3 m 1'
_symmetry_Int_Tables_number 156
_symmetry_space_group_name_Hall 'P 3 -2"'
_cell_length_a 4.5679
_cell_length_b 4.5679
_cell_length_c 3.9850
_cell_angle_alpha 90.00
_cell_angle_beta 90.00
_cell_angle_gamma 120.00
loop_
_atom_site_label
_atom_site_type_symbol
_atom_site_fract_x
_atom_site_fract_y
_atom_site_fract_z
Tb1 Tb 0.0000 0.0000 0.0000
Tm1 Tm 0.3333 0.6667 0.4701
Rh1 Rh 0.6667 0.3333 0.7144
```

***

Record 2
The following is a DFT calculation (GGA-PBE) of a geometry-optimized HoZnHg structure.

Electronic total energy in eV/cell: -14.4
ΔH_f (0 K) in eV/f.u.: -1.02

Geometry as CIF:
```
data_HoZnHg
_chemical_formula_sum 'Ho2 Zn2 Hg2'
_symmetry_space_group_name_H-M 'P 4/n m m'
_symmetry_Int_Tables_number 129
_cell_length_a 4.391
_cell_length_b 4.391
_cell_length_c 7.021
_cell_angle_alpha 90.00
_cell_angle_beta 90.00
_cell_angle_gamma 90.00
loop_
_symmetry_equiv_pos_as_xyz
'x,y,z'
'-x,-y,-z'
'-y+1/2,x,z'
'y+1/2,-x,-z'
'-x+1/2,-y+1/2,z'
'x+1/2,y+1/2,-z'
'y,-x+1/2,z'
'-y,x+1/2,-z'
'x+1/2,-y,-z'
'-x+1/2,y,z'
'-y,-x,-z'
'y,x,z'
'-x,y+1/2,-z'
'x,-y+1/2,z'
'y+1/2,x+1/2,-z'
'-y+1/2,-x+1/2,z'
loop_
_atom_site_label
_atom_site_type_symbol
_atom_site_fract_x
_atom_site_fract_y
_atom_site_fract_z
Ho1 Ho 0.250 0.250 0.182
Zn1 Zn 0.250 0.750 0.500
Hg1 Hg 0.250 0.250 0.749
```

***

Record 3
The following is a DFT calculation (GGA-PBE) of a geometry-optimized Li5Mg3Cd structure.

Electronic total energy in eV/cell: -31.7
ΔH_f (0 K) in eV/f.u.: -0.56

Geometry as CIF:
```
data_Li5Mg3Cd
_chemical_formula_sum 'Li10 Mg6 Cd2'
_symmetry_space_group_name_H-M 'P 63/m c m'
_symmetry_Int_Tables_number 193
_symmetry_space_group_name_Hall '-P 6c 2'
_cell_length_a 8.4454
_cell_length_b 8.4454
_cell_length_c 5.7889
_cell_angle_alpha 90.00
_cell_angle_beta 90.00
_cell_angle_gamma 120.00
loop_
_atom_site_label
_atom_site_type_symbol
_atom_site_fract_x
_atom_site_fract_y
_atom_site_fract_z
Li1 Li 0.0000 0.2930 0.2500
Li2 Li 0.3333 0.6667 0.0000
Mg1 Mg 0.0000 0.3709 0.7500
Cd1 Cd 0.0000 0.0000 0.0000
```

***

Record 4
The following is a DFT calculation (GGA-PBE) of a geometry-optimized ErScRu2 structure.

Electronic total energy in eV/cell: -31.2
ΔH_f (0 K) in eV/f.u.: -1.80

Geometry as CIF:
```
data_ErScRu2
_chemical_formula_sum 'Er1 Sc1 Ru2'
_symmetry_space_group_name_H-M 'P 4/m m m'
_symmetry_Int_Tables_number 123
_symmetry_space_group_name_Hall '-P 4 2'
_cell_length_a 3.289
_cell_length_b 3.289
_cell_length_c 6.588
_cell_angle_alpha 90.00
_cell_angle_beta 90.00
_cell_angle_gamma 90.00
loop_
_atom_site_label
_atom_site_type_symbol
_atom_site_fract_x
_atom_site_fract_y
_atom_site_fract_z
Er1 Er 0.000 0.000 0.000
Sc1 Sc 0.000 0.000 0.500
Ru1 Ru 0.500 0.500 0.262
```